[1]
Material: AcPm5SmEr2
Method: DFT, PBE-GGA
State: optimized geometry

abc: 12.4374 12.4374 9.4956
angles: 90.00 90.00 154.08
Last column: nearest neighbours and their distance in Å.
Atoms (fractional coordinates):
Ac 0.1023 0.8977 0.5000  5 Pm 3.42-3.74
Ac 0.8977 0.1023 0.0000  5 Pm 3.42-3.74
Pm 0.0247 0.9753 0.8273  3 Pm 3.28-3.57, 2 Ac 3.49-3.63, 2 Er 3.52
Pm 0.1045 0.8955 0.1060  4 Pm 3.28-3.64, 4 Er 3.51-3.63
Pm 0.1891 0.8109 0.7997  3 Er 3.39-3.41, 3 Sm 3.44-3.52, 4 Pm 3.50-3.71, 1 Ac 3.54
Pm 0.2411 0.7589 0.4328  3 Sm 3.13-3.25, 1 Ac 3.42, 2 Pm 3.50
Pm 0.4916 0.5084 0.6080  2 Er 3.43-3.79, 4 Pm 3.57-3.64
Pm 0.5084 0.4916 0.1080  2 Er 3.43-3.79, 4 Pm 3.57-3.64
Pm 0.7589 0.2411 0.9328  3 Sm 3.13-3.25, 1 Ac 3.42, 2 Pm 3.50
Pm 0.8109 0.1891 0.2997  3 Er 3.39-3.41, 3 Sm 3.44-3.52, 4 Pm 3.50-3.71, 1 Ac 3.54
Pm 0.8955 0.1045 0.6060  4 Pm 3.28-3.64, 4 Er 3.51-3.63
Pm 0.9753 0.0247 0.3273  3 Pm 3.28-3.57, 2 Ac 3.49-3.63, 2 Er 3.52
Sm 0.2635 0.7365 0.1087  4 Pm 3.13-3.44
Sm 0.7365 0.2635 0.6087  4 Pm 3.13-3.44
Er 0.3273 0.6727 0.7461  6 Pm 3.39-3.70, 3 Sm 3.77-3.79
Er 0.3878 0.6122 0.3624  9 Pm 3.41-3.79
Er 0.6122 0.3878 0.8624  9 Pm 3.41-3.79
Er 0.6727 0.3273 0.2461  6 Pm 3.39-3.70, 3 Sm 3.77-3.79

Properties
Electronic total energy, eV/atom: -4.488
ΔH_f (0 K), eV/atom: 0.146
Size of the total moment, μB/cell: 0.000

[2]
Material: AcPm6Sm3Er2
Method: DFT, PBE-GGA
State: optimized geometry

abc: 6.3158 6.3158 12.1196
angles: 95.00 95.00 119.97
Last column: nearest neighbours and their distance in Å.
Atoms (fractional coordinates):
Ac 0.0000 0.0000 0.0000  6 Er 3.65, 6 Pm 3.68
Pm 0.0840 0.4208 0.2516  3 Sm 3.62-3.64, 6 Pm 3.63-3.68, 2 Er 3.66, 1 Ac 3.68
Pm 0.2525 0.2525 0.7482  3 Sm 3.62-3.64, 6 Pm 3.63-3.68, 2 Er 3.66, 1 Ac 3.68
Pm 0.4208 0.0840 0.2516  3 Sm 3.62-3.64, 6 Pm 3.63-3.68, 2 Er 3.66, 1 Ac 3.68
Pm 0.5792 0.9160 0.7484  3 Sm 3.62-3.64, 6 Pm 3.63-3.68, 2 Er 3.66, 1 Ac 3.68
Pm 0.7475 0.7475 0.2518  3 Sm 3.62-3.64, 6 Pm 3.63-3.68, 2 Er 3.66, 1 Ac 3.68
Pm 0.9160 0.5792 0.7484  3 Sm 3.62-3.64, 6 Pm 3.63-3.68, 2 Er 3.66, 1 Ac 3.68
Sm 0.1672 0.8328 0.5000  6 Pm 3.62-3.64, 6 Sm 3.64-3.66
Sm 0.5000 0.5000 0.5000  6 Pm 3.62-3.64, 6 Sm 3.64-3.65
Sm 0.8328 0.1672 0.5000  6 Pm 3.62-3.64, 6 Sm 3.64-3.66
Er 0.3334 0.6666 0.0000  3 Er 3.64-3.65, 3 Ac 3.65, 6 Pm 3.66
Er 0.6666 0.3334 0.0000  3 Er 3.64-3.65, 3 Ac 3.65, 6 Pm 3.66

Properties
Electronic total energy, eV/atom: -4.632
ΔH_f (0 K), eV/atom: 0.026
Size of the total moment, μB/cell: 0.000

[3]
Material: Ac2PmSm5Er
Method: DFT, PBE-GGA
State: optimized geometry

abc: 10.6637 10.6637 11.0089
angles: 90.00 90.00 148.31
Last column: nearest neighbours and their distance in Å.
Atoms (fractional coordinates):
Ac 0.1105 0.8895 0.5000  7 Sm 3.52-3.84, 1 Pm 3.60, 2 Er 3.89
Ac 0.1188 0.8812 0.0896  8 Sm 3.41-3.68
Ac 0.8812 0.1188 0.5896  8 Sm 3.41-3.68
Ac 0.8895 0.1105 0.0000  7 Sm 3.52-3.84, 1 Pm 3.60, 2 Er 3.89
Pm 0.2072 0.7928 0.7732  8 Sm 3.60-3.90, 2 Ac 3.60-3.93, 2 Er 3.81
Pm 0.7928 0.2072 0.2732  8 Sm 3.60-3.90, 2 Ac 3.60-3.93, 2 Er 3.81
Sm 0.0203 0.9797 0.7930  2 Er 3.31, 2 Ac 3.52-3.63
Sm 0.2846 0.7154 0.0693  1 Er 3.14, 1 Ac 3.41
Sm 0.2967 0.7033 0.4657  1 Er 3.49, 3 Sm 3.54-3.77, 3 Pm 3.60-3.85, 3 Ac 3.65-3.84
Sm 0.3969 0.6031 0.7915  5 Sm 3.49-3.86, 4 Ac 3.68-3.71, 1 Pm 3.90
Sm 0.4792 0.5208 0.5083  2 Er 3.33-3.36, 2 Sm 3.49-3.54, 2 Ac 3.65
Sm 0.5208 0.4792 0.0083  2 Er 3.33-3.36, 2 Sm 3.49-3.54, 2 Ac 3.65
Sm 0.6031 0.3969 0.2915  5 Sm 3.49-3.86, 4 Ac 3.68-3.71, 1 Pm 3.90
Sm 0.7033 0.2967 0.9657  1 Er 3.49, 3 Sm 3.54-3.77, 3 Pm 3.60-3.85, 3 Ac 3.65-3.84
Sm 0.7154 0.2846 0.5693  1 Er 3.14, 1 Ac 3.41
Sm 0.9797 0.0203 0.2930  2 Er 3.31, 2 Ac 3.52-3.63
Er 0.4108 0.5892 0.2308  6 Sm 3.14-3.49
Er 0.5892 0.4108 0.7308  6 Sm 3.14-3.49

Properties
Electronic total energy, eV/atom: -4.429
ΔH_f (0 K), eV/atom: 0.141
Size of the total moment, μB/cell: 0.000

[4]
Material: Ac2PmSmEr
Method: DFT, PBE-GGA
State: optimized geometry

abc: 6.4568 8.8728 6.8030
angles: 90.00 90.00 90.00
Last column: nearest neighbours and their distance in Å.
Atoms (fractional coordinates):
Ac 0.2500 0.2061 0.2101  1 Pm 3.30, 2 Er 3.65, 1 Ac 3.66
Ac 0.2500 0.7939 0.2101  1 Pm 3.30, 2 Er 3.65, 1 Ac 3.66
Ac 0.7500 0.2061 0.7899  1 Pm 3.30, 2 Er 3.65, 1 Ac 3.66
Ac 0.7500 0.7939 0.7899  1 Pm 3.30, 2 Er 3.65, 1 Ac 3.66
Pm 0.2500 0.5000 0.9136  2 Er 3.24, 2 Ac 3.30, 2 Pm 3.44
Pm 0.7500 0.5000 0.0864  2 Er 3.24, 2 Ac 3.30, 2 Pm 3.44
Sm 0.2500 0.0000 0.6816  8 Ac 3.69-4.03, 2 Sm 4.07
Sm 0.7500 0.0000 0.3184  8 Ac 3.69-4.03, 2 Sm 4.07
Er 0.0000 0.5000 0.5000  2 Er 3.23, 2 Pm 3.24
Er 0.5000 0.5000 0.5000  2 Er 3.23, 2 Pm 3.24

Properties
Electronic total energy, eV/atom: -4.193
ΔH_f (0 K), eV/atom: 0.256
Size of the total moment, μB/cell: 0.000

[5]
Material: AcPm6SmEr2
Method: DFT, PBE-GGA
State: optimized geometry

abc: 9.0080 9.0080 9.7437
angles: 93.04 93.04 117.04
Last column: nearest neighbours and their distance in Å.
Atoms (fractional coordinates):
Ac 0.0319 0.9681 0.7500  4 Er 3.51-3.60, 6 Pm 3.69-3.86
Ac 0.9681 0.0319 0.2500  4 Er 3.51-3.60, 6 Pm 3.69-3.86
Pm 0.0110 0.5522 0.6799  3 Pm 3.28-3.63, 2 Er 3.50-3.58, 1 Sm 3.53
Pm 0.1168 0.7531 0.0551  7 Pm 3.48-3.87, 1 Er 3.62, 2 Ac 3.81-3.86
Pm 0.2469 0.8832 0.4449  7 Pm 3.48-3.87, 1 Er 3.62, 2 Ac 3.81-3.86
Pm 0.2926 0.5136 0.8816  4 Pm 3.28-3.61, 3 Er 3.33-3.51, 2 Sm 3.49-3.63
Pm 0.4478 0.9890 0.8201  3 Pm 3.28-3.63, 2 Er 3.50-3.58, 1 Sm 3.53
Pm 0.4864 0.7074 0.6184  4 Pm 3.28-3.61, 3 Er 3.33-3.51, 2 Sm 3.49-3.63
Pm 0.5136 0.2926 0.3816  4 Pm 3.28-3.61, 3 Er 3.33-3.51, 2 Sm 3.49-3.63
Pm 0.5522 0.0110 0.1799  3 Pm 3.28-3.63, 2 Er 3.50-3.58, 1 Sm 3.53
Pm 0.7074 0.4864 0.1184  4 Pm 3.28-3.61, 3 Er 3.33-3.51, 2 Sm 3.49-3.63
Pm 0.7531 0.1168 0.5551  7 Pm 3.48-3.87, 1 Er 3.62, 2 Ac 3.81-3.86
Pm 0.8832 0.2469 0.9449  7 Pm 3.48-3.87, 1 Er 3.62, 2 Ac 3.81-3.86
Pm 0.9890 0.4478 0.3201  3 Pm 3.28-3.63, 2 Er 3.50-3.58, 1 Sm 3.53
Sm 0.4102 0.5898 0.2500  6 Pm 3.49-3.63, 2 Er 3.61
Sm 0.5898 0.4102 0.7500  6 Pm 3.49-3.63, 2 Er 3.61
Er 0.2030 0.3093 0.5487  6 Pm 3.33-3.62, 2 Ac 3.51-3.60, 1 Sm 3.61
Er 0.3093 0.2030 0.0487  6 Pm 3.33-3.62, 2 Ac 3.51-3.60, 1 Sm 3.61
Er 0.6907 0.7970 0.9513  6 Pm 3.33-3.62, 2 Ac 3.51-3.60, 1 Sm 3.61
Er 0.7970 0.6907 0.4513  6 Pm 3.33-3.62, 2 Ac 3.51-3.60, 1 Sm 3.61

Properties
Electronic total energy, eV/atom: -4.525
ΔH_f (0 K), eV/atom: 0.121
Size of the total moment, μB/cell: 0.000

[6]
Material: AcPm4SmEr2
Method: DFT, PBE-GGA
State: optimized geometry

abc: 5.1534 5.1825 10.3324
angles: 90.00 90.05 90.00
Last column: nearest neighbours and their distance in Å.
Atoms (fractional coordinates):
Ac 0.0000 0.0000 0.0000  4 Er 3.65, 8 Pm 3.70
Pm 0.9998 0.5000 0.2563  2 Sm 3.60, 4 Er 3.61-3.70, 4 Pm 3.65-3.66, 2 Ac 3.70
Pm 0.0002 0.5000 0.7437  2 Sm 3.60, 4 Er 3.61-3.70, 4 Pm 3.65-3.66, 2 Ac 3.70
Pm 0.5001 0.0000 0.2574  4 Er 3.59-3.71, 2 Sm 3.61, 4 Pm 3.65-3.66, 2 Ac 3.70
Pm 0.4999 0.0000 0.7426  4 Er 3.59-3.71, 2 Sm 3.61, 4 Pm 3.65-3.66, 2 Ac 3.70
Sm 0.5000 0.5000 0.5000  8 Pm 3.60-3.61, 4 Er 3.65
Er 0.0000 0.0000 0.5000  8 Pm 3.59-3.61, 4 Sm 3.65
Er 0.5000 0.5000 0.0000  4 Ac 3.65, 8 Pm 3.69-3.71

Properties
Electronic total energy, eV/atom: -4.587
ΔH_f (0 K), eV/atom: 0.032
Size of the total moment, μB/cell: 0.000

[7]
Material: AcTbPmEr2
Method: DFT, PBE-GGA
State: optimized geometry

abc: 9.3069 9.3069 6.4958
angles: 90.00 90.00 139.57
Last column: nearest neighbours and their distance in Å.
Atoms (fractional coordinates):
Ac 0.1586 0.8414 0.7500  1 Pm 3.30, 2 Tb 3.48, 4 Er 3.59
Ac 0.8414 0.1586 0.2500  1 Pm 3.30, 2 Tb 3.48, 4 Er 3.59
Tb 0.2306 0.7694 0.2500  4 Ac 3.48-3.75, 4 Pm 3.50-3.84
Tb 0.7694 0.2306 0.7500  4 Ac 3.48-3.75, 4 Pm 3.50-3.84
Pm 0.3478 0.6522 0.7500  1 Ac 3.30, 2 Tb 3.50, 4 Er 3.51
Pm 0.6522 0.3478 0.2500  1 Ac 3.30, 2 Tb 3.50, 4 Er 3.51
Er 0.2493 0.2493 0.0000  4 Er 3.21-3.25, 2 Pm 3.51, 2 Ac 3.59
Er 0.2493 0.2493 0.5000  4 Er 3.21-3.25, 2 Pm 3.51, 2 Ac 3.59
Er 0.7507 0.7507 0.0000  4 Er 3.21-3.25, 2 Pm 3.51, 2 Ac 3.59
Er 0.7507 0.7507 0.5000  4 Er 3.21-3.25, 2 Pm 3.51, 2 Ac 3.59

Properties
Electronic total energy, eV/atom: -4.143
ΔH_f (0 K), eV/atom: 0.380
Size of the total moment, μB/cell: 0.000

[8]
Material: AcTbPm3Er
Method: DFT, PBE-GGA
State: optimized geometry

abc: 8.2012 5.2006 10.3831
angles: 90.00 108.65 90.00
Last column: nearest neighbours and their distance in Å.
Atoms (fractional coordinates):
Ac 0.1704 0.2500 0.2928  3 Er 3.65-3.66, 8 Pm 3.69-3.73, 1 Tb 3.69
Ac 0.8296 0.7500 0.7072  3 Er 3.65-3.66, 8 Pm 3.69-3.73, 1 Tb 3.69
Tb 0.4963 0.7500 0.8765  7 Pm 3.57-3.66, 2 Tb 3.64, 2 Er 3.67, 1 Ac 3.69
Tb 0.5037 0.2500 0.1235  7 Pm 3.57-3.66, 2 Tb 3.64, 2 Er 3.67, 1 Ac 3.69
Pm 0.1731 0.7500 0.0398  3 Tb 3.57-3.66, 1 Er 3.64, 5 Pm 3.65-3.77, 3 Ac 3.69-3.70
Pm 0.1726 0.7500 0.5471  1 Tb 3.60, 3 Er 3.62-3.71, 5 Pm 3.64-3.76, 3 Ac 3.70
Pm 0.1738 0.2500 0.7934  1 Er 3.59, 3 Tb 3.61-3.62, 6 Pm 3.64-3.77, 2 Ac 3.73
Pm 0.8262 0.7500 0.2066  1 Er 3.59, 3 Tb 3.61-3.62, 6 Pm 3.64-3.77, 2 Ac 3.73
Pm 0.8274 0.2500 0.4529  1 Tb 3.60, 3 Er 3.62-3.71, 5 Pm 3.64-3.76, 3 Ac 3.70
Pm 0.8269 0.2500 0.9602  3 Tb 3.57-3.66, 1 Er 3.64, 5 Pm 3.65-3.77, 3 Ac 3.69-3.70
Er 0.4974 0.2500 0.6278  5 Pm 3.59-3.71, 3 Ac 3.65-3.66, 2 Tb 3.67, 2 Er 3.73
Er 0.5026 0.7500 0.3722  5 Pm 3.59-3.71, 3 Ac 3.65-3.66, 2 Tb 3.67, 2 Er 3.73

Properties
Electronic total energy, eV/atom: -4.551
ΔH_f (0 K), eV/atom: 0.041
Size of the total moment, μB/cell: 0.000